VASP calculation (GGA-PBE) on NpAl2AgAu4 after structural relaxation.

Computed properties:
Calculated volume ... 156 Å³ per cell
Density of states at the Fermi level ... 14.90 states/eV per cell
Energy of formation ... -0.204 eV per atom
Magnetization ... 4.16 μB per formula unit
Space group ... R-3m (166)
Uncorrected energy ... -4.752 eV/atom

Lattice parameters (Å, degrees): 4.461 4.461 9.395 76.27 76.27 60.00
Site moments in Bohr magnetons follow the coordinates.
Positions (direct):
Al: 0.759 0.759 0.722  0.00
Al: 0.241 0.241 0.278  0.00
Au: 0.393 0.393 0.821  0.00
Au: 0.122 0.122 0.635  0.01
Au: 0.607 0.607 0.179  0.00
Au: 0.878 0.878 0.365  0.01
Ag: 0.500 0.500 0.500  0.01
Np: 0.000 0.000 0.000  3.83